No. 1
A relaxed structure of Mg2TiGa, computed with PBE-GGA.

Lattice parameters (Å, degrees): 7.6974 7.6974 6.1054 50.92 50.92 90.00
With the nearest neighbours (Å) after each atom.
Atoms (fractional coordinates):
Ti 0.2500 0.7500 0.5000  2 Ga 2.77, 4 Mg 2.96
Ti 0.5000 0.5000 0.0000  2 Ga 2.77, 4 Mg 2.96
Mg 0.0963 0.6250 0.2500  2 Ga 2.66, 2 Mg 2.80, 2 Ti 2.96
Mg 0.8750 0.9037 0.7500  2 Ga 2.66, 2 Mg 2.80, 2 Ti 2.96
Mg 0.6537 0.1250 0.2500  2 Ga 2.66, 2 Mg 2.80, 2 Ti 2.96
Mg 0.3750 0.3463 0.7500  2 Ga 2.66, 2 Mg 2.80, 2 Ti 2.96
Ga 0.0000 0.0000 0.0000  4 Mg 2.66, 2 Ti 2.77
Ga 0.7500 0.2500 0.5000  4 Mg 2.66, 2 Ti 2.77

Values from the calculation:
SG: I-42d, No. 122
formation enthalpy at 0 K: 0.27 eV per atom

No. 2
A relaxed structure of HgSb2Pb4, computed with PBE-GGA.

Lattice parameters (Å, degrees): 8.4782 8.4781 8.4812 109.50 109.54 109.33
With the nearest neighbours (Å) after each atom.
Atoms (fractional coordinates):
Pb 0.5006 0.6919 0.8090  1 Hg 3.07, 3 Sb 3.15-3.16
Pb 0.3082 0.4995 0.1911  1 Hg 3.08, 3 Sb 3.15-3.16
Pb 0.3670 0.0584 0.3091  1 Hg 3.07, 3 Sb 3.15-3.16
Pb 0.9419 0.2506 0.3090  1 Hg 3.08, 3 Sb 3.15-3.16
Pb 0.8829 0.6915 0.1909  1 Hg 3.07, 3 Sb 3.15-3.16
Pb 0.7493 0.0580 0.6910  1 Hg 3.07, 3 Sb 3.15-3.16
Pb 0.9415 0.6330 0.6910  1 Hg 3.08, 3 Sb 3.15-3.16
Pb 0.3086 0.1171 0.8090  1 Hg 3.08, 3 Sb 3.15-3.16
Sb 0.1250 0.3750 0.7500  6 Pb 3.15-3.16
Sb 0.6250 0.8750 0.2500  6 Pb 3.15-3.16
Sb 0.6250 0.3750 0.7500  6 Pb 3.15-3.16
Sb 0.6250 0.3750 0.2500  6 Pb 3.15-3.16
Hg 0.2497 0.7497 0.5000  4 Pb 3.07-3.08
Hg 0.0003 0.0003 0.0000  4 Pb 3.07-3.08

Values from the calculation:
polymorph energy (0 for the lowest one): 41.5 meV/atom
SG: Imma, No. 74
formation energy without anion corrections: 77 meV/atom

No. 3
A relaxed structure of Mg3Bi2N4, computed with PBE-GGA.

Lattice parameters (Å, degrees): 7.1689 7.1689 5.4529 82.41 82.41 93.89
With the nearest neighbours (Å) after each atom.
Atoms (fractional coordinates):
Bi 0.4370 0.2069 0.8051  3 N 2.23-2.32
Bi 0.5630 0.7931 0.1949  3 N 2.23-2.32
Bi 0.2069 0.4370 0.3051  3 N 2.23-2.32
Bi 0.7931 0.5630 0.6949  3 N 2.23-2.32
N 0.9726 0.2160 0.4661  4 Mg 2.09-2.29, 1 Bi 2.23
N 0.7840 0.0274 0.0339  4 Mg 2.09-2.29, 1 Bi 2.23
N 0.0274 0.7840 0.5339  4 Mg 2.09-2.29, 1 Bi 2.23
N 0.2179 0.4223 0.8874  2 Mg 2.10-2.19, 2 Bi 2.29-2.32
N 0.2160 0.9726 0.9661  4 Mg 2.09-2.29, 1 Bi 2.23
N 0.4223 0.2179 0.3874  2 Mg 2.10-2.19, 2 Bi 2.29-2.32
N 0.7821 0.5777 0.1126  2 Mg 2.10-2.19, 2 Bi 2.29-2.32
N 0.5777 0.7821 0.6126  2 Mg 2.10-2.19, 2 Bi 2.29-2.32
Mg 0.0290 0.1914 0.8588  4 N 2.09-2.22
Mg 0.7246 0.2754 0.2500  4 N 2.19-2.29
Mg 0.8086 0.9710 0.6412  4 N 2.09-2.22
Mg 0.2754 0.7246 0.7500  4 N 2.19-2.29
Mg 0.9710 0.8086 0.1412  4 N 2.09-2.22
Mg 0.1914 0.0290 0.3588  4 N 2.09-2.22

Values from the calculation:
SG: C2/c, No. 15
formation energy without anion corrections: -52 meV/atom

No. 4
A relaxed structure of Mg2CdS2, computed with PBE-GGA.

Lattice parameters (Å, degrees): 4.4657 4.4657 7.7062 73.16 73.16 90.00
With the nearest neighbours (Å) after each atom.
Atoms (fractional coordinates):
Mg 0.2500 0.7500 0.5000  4 S 2.48
Mg 0.7500 0.2500 0.5000  4 S 2.48
Cd 0.0000 0.0000 0.0000  8 S 3.98, 8 Mg 4.16
S 0.3275 0.3275 0.3451  4 Mg 2.48
S 0.6725 0.6725 0.6549  4 Mg 2.48

Values from the calculation:
polymorph energy (0 for the lowest one): 0.0 meV/atom
SG: I4/mmm, No. 139
formation energy without anion corrections: -866 meV/atom